1.
# CoMo2Au | the Alexandria database | GGA-PBE | optimized geometry
# Distance to the lowest polymorph of the same formula = 154 kJ/mol of formula units
# Spin magnetization = 0.0 μB per formula unit
data_CoMo2Au
_symmetry_space_group_name_H-M 'P 1'
_symmetry_Int_Tables_number 1
_symmetry_space_group_name_Hall 'P 1'
_cell_length_a 7.051
_cell_length_b 7.051
_cell_length_c 5.609
_cell_angle_alpha 51.06
_cell_angle_beta 51.06
_cell_angle_gamma 90.00
loop_
_atom_site_label
_atom_site_type_symbol
_atom_site_fract_x
_atom_site_fract_y
_atom_site_fract_z
Mo1 Mo 0.875 0.828 0.750
Mo2 Mo 0.375 0.422 0.750
Mo3 Mo 0.172 0.625 0.250
Mo4 Mo 0.578 0.125 0.250
Co1 Co 0.250 0.750 0.500
Co2 Co 0.500 0.500 0.000
Au1 Au 0.000 0.000 0.000
Au2 Au 0.750 0.250 0.500

2.
# La2BeTeW | the Alexandria database | GGA-PBE | optimized geometry
# Uncorrected formation energy = 184 meV per atom
# Spin magnetization = 0.0 μB per formula unit
data_La2BeTeW
_symmetry_space_group_name_H-M 'P 1'
_symmetry_Int_Tables_number 1
_symmetry_space_group_name_Hall 'P 1'
_cell_length_a 5.496
_cell_length_b 4.334
_cell_length_c 5.496
_cell_angle_alpha 90.00
_cell_angle_beta 90.00
_cell_angle_gamma 90.00
loop_
_atom_site_label
_atom_site_type_symbol
_atom_site_fract_x
_atom_site_fract_y
_atom_site_fract_z
Te1 Te 0.500 0.500 0.500
La1 La 0.000 0.000 0.500
La2 La 0.500 0.000 0.000
W1 W 0.000 0.500 0.000
Be1 Be 0.000 0.000 0.000

3.
# GaFe2I8 | the Alexandria database | GGA-PBE | optimized geometry
# Uncorrected formation energy = -229 meV per atom
# Spin magnetization = 9.0 μB per formula unit
data_GaFe2I8
_symmetry_space_group_name_H-M 'P 1'
_symmetry_Int_Tables_number 1
_symmetry_space_group_name_Hall 'P 1'
_cell_length_a 7.036
_cell_length_b 8.591
_cell_length_c 8.591
_cell_angle_alpha 77.50
_cell_angle_beta 93.59
_cell_angle_gamma 93.59
loop_
_atom_site_label
_atom_site_type_symbol
_atom_site_fract_x
_atom_site_fract_y
_atom_site_fract_z
I1 I 0.779 0.278 0.917
I2 I 0.221 0.722 0.083
I3 I 0.221 0.083 0.722
I4 I 0.258 0.624 0.624
I5 I 0.742 0.376 0.376
I6 I 0.732 0.816 0.816
I7 I 0.268 0.184 0.184
I8 I 0.779 0.917 0.278
Ga1 Ga 0.000 0.000 0.000
Fe1 Fe 0.633 0.195 0.195
Fe2 Fe 0.367 0.805 0.805